! CaTb2BiO6 GGA-PBE relaxed; values from VASP
! * formation energy from raw total energies: -2.65 eV/atom
&SYSTEM
  ibrav = 0, nat = 10, ntyp = 4
/
ATOMIC_SPECIES
O 16.00 O.upf
Tb 158.93 Tb.upf
Ca 40.08 Ca.upf
Bi 208.98 Bi.upf
ATOMIC_POSITIONS angstrom
O -6.561 -1.135 -4.544
O -6.486 -3.994 -5.041
O -4.775 -2.248 -7.070
O -3.441 -0.723 -4.114
O -5.360 -2.916 -2.593
O -3.249 -4.275 -4.540
Tb -4.649 -2.510 -4.819
Tb -5.574 -1.629 -0.750
Ca -6.723 -3.737 -7.356
Bi -1.647 -1.177 -2.756
CELL_PARAMETERS angstrom
-2.733 1.044 -5.116
-1.324 -4.474 -3.601
-5.892 -1.666 -0.587